# 1
Computed, not measured: a relaxed KCd6Pb6 crystal at the GGA-PBE level of DFT.

Fermi-level density of states, states/eV/f.u.: 5.2
Formation energy, eV/atom: -0.033
Total moment, μB/f.u.: 0.0
Crystal system: orthorhombic

Cell lengths 6.1513, 10.5644, 11.5005 Å; angles 90.00, 90.00, 90.00 degrees
Space group Immm (No. 71)
Unique sites:
K  0.0000  0.0000  0.0000
Cd  0.0000  0.5000  0.2717
Cd  0.2500  0.2500  0.2500
Pb  0.0000  0.0000  0.3544
Pb  0.0000  0.3090  0.5000
Pb  0.0000  0.3454  0.0000

# 2
Computed, not measured: a relaxed Pu2MgGe crystal at the GGA-PBE level of DFT.

Fermi-level density of states, states/eV/f.u.: 12.7
Formation energy, eV/atom: -0.093
Energy above the most stable polymorph in this dataset, meV per atom: 88
Total moment, μB/f.u.: 12.1
Crystal system: cubic

Cell lengths 7.2694, 7.2694, 7.2694 Å; angles 90.00, 90.00, 90.00 degrees
Space group Fm-3m (No. 225)
Unique sites:
Pu  0.2500  0.2500  0.2500
Mg  0.0000  0.0000  0.0000
Ge  0.0000  0.0000  0.5000

# 3
Computed, not measured: a relaxed LiTc2Br crystal at the GGA-PBE level of DFT.

Fermi-level density of states, states/eV/f.u.: 1.8
Energy above the most stable polymorph in this dataset, meV per atom: 50
Total moment, μB/f.u.: 0.0
Crystal system: tetragonal

Cell lengths 3.1316, 3.1316, 6.9614 Å; angles 90.00, 90.00, 90.00 degrees
Space group P4mm (No. 99)
Unique sites:
Li  0.0000  0.0000  0.0000
Tc  0.0000  0.0000  0.4323
Tc  0.5000  0.5000  0.2500
Br  0.5000  0.5000  0.8475

# 4
Computed, not measured: a relaxed Er12Ni6Hg crystal at the GGA-PBE level of DFT.

Fermi-level density of states, states/eV/f.u.: 23.4
Formation energy, eV/atom: -0.371
Total moment, μB/f.u.: 0.0
Crystal system: cubic

Cell lengths 9.5753, 9.5753, 9.5753 Å; angles 90.00, 90.00, 90.00 degrees
Space group Im-3 (No. 204)
Unique sites:
Er  0.0000  0.3011  0.1867
Ni  0.0000  0.1243  0.5000
Hg  0.0000  0.0000  0.0000

# 5
Computed, not measured: a relaxed EuErGe crystal at the GGA-PBE level of DFT.

Fermi-level density of states, states/eV/f.u.: 8.0
Formation energy, eV/atom: -0.465
Energy above the most stable polymorph in this dataset, meV per atom: 0
Total moment, μB/f.u.: 7.5
Crystal system: cubic

Cell lengths 7.0815, 7.0815, 7.0815 Å; angles 90.00, 90.00, 90.00 degrees
Space group F-43m (No. 216)
Unique sites:
Eu  0.0000  0.0000  0.0000
Er  0.0000  0.0000  0.5000
Ge  0.2500  0.2500  0.7500

# 6
Computed, not measured: a relaxed La2Sm3Ho2 crystal at the GGA-PBE level of DFT.

Fermi-level density of states, states/eV/f.u.: 9.8
Formation energy, eV/atom: 0.016
Energy above the most stable polymorph in this dataset, meV per atom: 0
Total moment, μB/f.u.: 0.0
Crystal system: monoclinic

Cell lengths 11.9561, 3.6444, 10.9191 Å; angles 90.00, 95.59, 90.00 degrees
Space group C2/m (No. 12)
Unique sites:
La  0.2162  0.0000  0.3545
Sm  0.0000  0.5000  0.5000
Sm  0.1413  0.5000  0.0691
Ho  0.0696  0.0000  0.7888